{
  "formula": "RbTl12Pt6",
  "functional": "PBE",
  "state": "relaxed",
  "final_energy_ev_per_cell": -66.69,
  "crystal_system": "trigonal",
  "cell": [[6.6194, 3.8217, 3.3274], [-6.6194, 3.8217, 3.3274], [0.0000, -7.6434, 3.3274]],
  "species": ["Rb", "Tl", "Tl", "Tl", "Tl", "Tl", "Tl", "Tl", "Tl", "Tl", "Tl", "Tl", "Tl", "Pt", "Pt", "Pt", "Pt", "Pt", "Pt"],
  "frac_coords": [[0.0000, 0.0000, 0.0000], [0.1243, 0.5000, 0.8757], [0.1243, 0.8757, 0.5000], [0.1682, 0.4332, 0.4332], [0.4332, 0.1682, 0.4332], [0.4332, 0.4332, 0.1682], [0.5000, 0.1243, 0.8757], [0.5000, 0.8757, 0.1243], [0.5668, 0.5668, 0.8318], [0.5668, 0.8318, 0.5668], [0.8318, 0.5668, 0.5668], [0.8757, 0.1243, 0.5000], [0.8757, 0.5000, 0.1243], [0.2529, 0.2529, 0.6907], [0.2529, 0.6907, 0.2529], [0.3093, 0.7471, 0.7471], [0.6907, 0.2529, 0.2529], [0.7471, 0.3093, 0.7471], [0.7471, 0.7471, 0.3093]]
}

=====

{
  "formula": "RbTl12Pt4",
  "functional": "PBE",
  "state": "relaxed",
  "final_energy_ev_per_cell": -54.42,
  "crystal_system": "cubic",
  "cell": [[-5.0433, 5.0433, 5.0433], [5.0433, -5.0433, 5.0433], [5.0433, 5.0433, -5.0433]],
  "species": ["Rb", "Tl", "Tl", "Tl", "Tl", "Tl", "Tl", "Tl", "Tl", "Tl", "Tl", "Tl", "Tl", "Pt", "Pt", "Pt", "Pt"],
  "frac_coords": [[0.0000, 0.0000, 0.0000], [0.1682, 0.3377, 0.5059], [0.1682, 0.6623, 0.8305], [0.1695, 0.8318, 0.3377], [0.3377, 0.1695, 0.8318], [0.3377, 0.5059, 0.1682], [0.4941, 0.8318, 0.6623], [0.5059, 0.1682, 0.3377], [0.6623, 0.4941, 0.8318], [0.6623, 0.8305, 0.1682], [0.8305, 0.1682, 0.6623], [0.8318, 0.3377, 0.1695], [0.8318, 0.6623, 0.4941], [0.0000, 0.0000, 0.5000], [0.0000, 0.5000, 0.0000], [0.5000, 0.0000, 0.0000], [0.5000, 0.5000, 0.5000]]
}

=====

{
  "formula": "Rb3Tl8Pt3",
  "functional": "PBE",
  "state": "relaxed",
  "final_energy_ev_per_cell": -41.06,
  "crystal_system": "monoclinic",
  "cell": [[6.5551, -5.9015, 0.0000], [6.5551, 5.9015, 0.0000], [-1.8439, 0.0000, 5.9771]],
  "species": ["Rb", "Rb", "Rb", "Tl", "Tl", "Tl", "Tl", "Tl", "Tl", "Tl", "Tl", "Pt", "Pt", "Pt"],
  "frac_coords": [[0.0000, 0.0000, 0.0000], [0.3504, 0.3504, 0.3650], [0.6496, 0.6496, 0.6350], [0.0358, 0.7139, 0.4047], [0.1637, 0.5884, 0.8997], [0.2861, 0.9642, 0.5953], [0.4116, 0.8363, 0.1003], [0.5884, 0.1637, 0.8997], [0.7139, 0.0358, 0.4047], [0.8363, 0.4116, 0.1003], [0.9642, 0.2861, 0.5953], [0.2774, 0.2774, 0.8112], [0.5000, 0.5000, 0.0000], [0.7226, 0.7226, 0.1888]]
}

=====

{
  "formula": "Rb2Tl3Pt2",
  "functional": "PBE",
  "state": "relaxed",
  "final_energy_ev_per_cell": -22.18,
  "crystal_system": "monoclinic",
  "cell": [[6.3514, -2.2566, 0.0000], [6.3514, 2.2566, 0.0000], [-4.4171, 0.0000, 7.3616]],
  "species": ["Rb", "Rb", "Tl", "Tl", "Tl", "Pt", "Pt"],
  "frac_coords": [[0.1467, 0.1467, 0.2828], [0.8533, 0.8533, 0.7172], [0.3580, 0.3580, 0.0538], [0.5000, 0.5000, 0.5000], [0.6420, 0.6420, 0.9462], [0.1220, 0.1220, 0.7153], [0.8780, 0.8780, 0.2847]]
}